# 1
DFT (PBE-GGA) results for an optimized crystal structure of Na2UAg2S4.

## Properties
For the energy relative to the elements, uncorrected, the calculation gives -8.1 eV/f.u. The density of states at the Fermi level comes out at 4.3 states/eV/f.u.

Cell lengths 15.060, 4.025, 7.598 Å; angles 90.00, 118.52, 90.00 degrees
Space group C2/m (No. 12)
Symmetry-distinct sites (fractional):
Na1 0.152 0.000 0.048 (multiplicity 4)
U1 0.000 0.000 0.500 (multiplicity 2)
Ag1 0.173 0.500 0.452 (multiplicity 4)
S1 0.015 0.500 0.758 (multiplicity 4)
S2 0.206 0.000 0.709 (multiplicity 4)

# 2
DFT (PBE-GGA) results for an optimized crystal structure of TiCo2Re2.

## Properties
For the formation energy, the calculation gives 0.06 eV per atom. For the energy above the most stable polymorph in this dataset, the calculation gives 72.4 meV per atom. The density of states at the Fermi level comes out at 4.8 states/eV/f.u.

Cell lengths 7.295, 7.295, 2.606 Å; angles 90.00, 90.00, 90.00 degrees
Space group P4/mbm (No. 127)
Symmetry-distinct sites (fractional):
Ti1 0.000 0.000 0.000 (multiplicity 2)
Co1 0.171 0.329 0.500 (multiplicity 4)
Re1 0.126 0.626 0.000 (multiplicity 4)